(1)
4
Lattice="3.979 -1.696 0.000 3.979 1.696 0.000 -0.536 0.000 7.182" Properties=species:S:1:pos:R:3 comment="ScGaCuCl, optimized geometry, DFT PBE-GGA" raw_formation_energy_ev_per_fu=-2.3 pbc="T T T"
Sc 0.000 0.000 0.000
Ga 4.221 0.000 5.058
Cu 1.875 0.000 5.657
Cl 4.214 0.000 1.840


(2)
4
Lattice="1.495 -2.515 0.000 1.495 2.515 0.000 0.000 0.000 10.436" Properties=species:S:1:pos:R:3 comment="AgRuSe2, optimized geometry, DFT PBE-GGA" raw_formation_energy_ev_per_fu=1.3 pbc="T T T"
Ag 0.000 0.000 0.000
Ru 0.000 0.000 5.218
Se 1.495 0.000 3.173
Se 1.495 0.000 7.263


(3)
Material: LiEr4Pd7
Method: DFT, PBE-GGA
State: optimized geometry

Structure (extended XYZ):
```
12
Lattice="5.428 -2.522 0.000 5.428 2.522 0.000 -5.118 0.000 8.929" Properties=species:S:1:pos:R:3 pbc="T T T"
Li 0.000 0.000 0.000
Er -0.896 0.000 5.732
Er 3.328 0.000 1.910
Er 2.409 0.000 7.020
Er 6.633 0.000 3.197
Pd -0.748 0.000 2.781
Pd -2.357 0.000 8.093
Pd 1.547 0.000 4.286
Pd 5.428 0.000 0.000
Pd 4.190 0.000 4.644
Pd 8.094 0.000 0.836
Pd 6.485 0.000 6.149
```


(4)
14
Lattice="6.391 0.000 0.000 0.000 7.635 0.000 -2.186 0.000 9.428" Properties=species:S:1:pos:R:3 comment="CsTlCuCl4, optimized geometry, DFT PBE-GGA" raw_formation_energy_ev_per_fu=-7.6 pbc="T T T"
Cs 0.568 1.909 3.915
Cs 3.638 5.726 5.513
Tl 2.002 5.726 0.237
Tl 2.203 1.909 9.191
Cu -1.058 1.909 7.506
Cu 5.264 5.726 1.922
Cl 0.469 5.726 3.499
Cl 1.258 1.909 0.339
Cl -0.095 3.918 7.089
Cl -0.095 7.535 7.089
Cl 4.301 0.100 2.340
Cl 4.301 3.717 2.340
Cl 2.948 5.726 9.090
Cl 3.736 1.909 5.929


no.,calculated volume (Å³/atom),calculated total energy (eV for the cell shown)
1,24.237,-17.6
2,19.615,-17.7
3,20.372,-64.7
4,32.863,-44.6